No. 1
Below is LaPr8Pb6 after structural relaxation, with properties calculated at the PBE level.

Cell: 9.592 9.592 8.717 Å, 56.62 56.62 60.00°
Sites, in units of the cell vectors:
Pb: 0.931 0.266 0.209
Pb: 0.406 0.069 0.791
Pb: 0.266 0.594 0.209
Pb: 0.734 0.406 0.791
Pb: 0.594 0.931 0.209
Pb: 0.069 0.734 0.791
Pr: 0.567 0.230 0.306
Pr: 0.103 0.433 0.694
Pr: 0.770 0.103 0.694
Pr: 0.433 0.770 0.694
Pr: 0.897 0.567 0.306
Pr: 0.230 0.897 0.306
Pr: 0.333 0.333 0.001
Pr: 0.667 0.667 0.999
La: 0.000 0.000 0.000

Summary:
- formation energy from the elements (meV per atom) = -418
- space-group type = R-3 (148)
- DFT total energy (eV/atom) = -4.78

No. 2
Below is TiRe2As after structural relaxation, with properties calculated at the PBE level.

Cell: 7.543 7.543 5.867 Å, 50.00 50.00 90.00°
Sites, in units of the cell vectors:
As: 0.750 0.250 0.500
As: 0.000 0.000 0.000
Re: 0.375 0.306 0.750
Re: 0.875 0.944 0.750
Re: 0.056 0.625 0.250
Re: 0.694 0.125 0.250
Ti: 0.250 0.750 0.500
Ti: 0.500 0.500 0.000

Summary:
- formation energy from the elements (meV per atom) = 574
- space-group type = I-42d (122)
- DFT total energy (eV/atom) = -8.79